(1)
Entry from Alexandria via LeMat-Bulk: a relaxed ErTm3Tl2 crystal (PBE).

Calculated values
crystal system	orthorhombic
E above lowest polymorph	0.000	eV per formula unit
energy of formation from the pure elements	-0.26	eV per atom

abc: 5.018 6.759 9.848
angles: 90.00 90.00 90.00
Atoms (fractional coordinates):
Tm 0.000 0.953 0.042
Tm 0.000 0.331 0.310
Tm 0.000 0.453 0.958
Tm 0.500 0.169 0.812
Tm 0.000 0.831 0.690
Tm 0.500 0.669 0.188
Tl 0.500 0.207 0.132
Tl 0.000 0.293 0.632
Tl 0.500 0.707 0.868
Tl 0.000 0.793 0.368
Er 0.500 0.047 0.458
Er 0.500 0.547 0.542

(2)
Entry from Alexandria via LeMat-Bulk: a relaxed Cs2CeF6 crystal (PBE).

Calculated values
crystal system	monoclinic
formation energy from raw total energies	-3.3892	eV per atom

abc: 6.703 8.534 8.164
angles: 90.00 110.34 90.00
Atoms (fractional coordinates):
F 0.277 0.879 0.477
F 0.371 0.717 0.059
F 0.871 0.783 0.559
F 0.723 0.121 0.523
F 0.340 0.534 0.721
F 0.129 0.217 0.441
F 0.629 0.283 0.941
F 0.840 0.966 0.221
F 0.160 0.034 0.779
F 0.777 0.621 0.977
F 0.660 0.466 0.279
F 0.223 0.379 0.023
Cs 0.148 0.554 0.323
Cs 0.352 0.054 0.177
Cs 0.852 0.446 0.677
Cs 0.648 0.946 0.823
Ce 0.000 0.000 0.500
Ce 0.500 0.500 0.000

(3)
Entry from Alexandria via LeMat-Bulk: a relaxed KSnHg11 crystal (PBE).

Calculated values
crystal system	monoclinic
energy of formation from the pure elements	-0.04	eV per atom

abc: 6.237 7.450 9.121
angles: 84.17 70.01 72.73
Atoms (fractional coordinates):
Hg 0.500 0.000 0.500
Hg 0.333 0.636 0.648
Hg 0.000 0.000 0.500
Hg 0.019 0.364 0.648
Hg 0.300 0.215 0.221
Hg 0.700 0.785 0.779
Hg 0.000 0.500 0.000
Hg 0.981 0.636 0.352
Hg 0.667 0.364 0.352
Hg 0.479 0.785 0.221
Hg 0.521 0.215 0.779
K 0.000 0.000 0.000
Sn 0.500 0.500 0.000

(4)
Entry from Alexandria via LeMat-Bulk: a relaxed Ti2VS crystal (PBE).

Calculated values
crystal system	tetragonal
formation energy from raw total energies	-0.1788	eV per atom

abc: 7.460 7.460 5.770
angles: 49.73 49.73 90.00
Atoms (fractional coordinates):
S 0.250 0.750 0.500
S 0.500 0.500 0.000
V 0.000 0.000 0.000
V 0.750 0.250 0.500
Ti 0.546 0.125 0.250
Ti 0.875 0.796 0.750
Ti 0.375 0.454 0.750
Ti 0.204 0.625 0.250